Tb2Tc2O5: optimized geometry, PBE.

Geometry as POSCAR:
```
Tb2Tc2O5
1.0
6.7662 0.0000 0.0000
0.0000 3.9729 0.0000
0.0000 0.0000 3.9729
Tc O Tb
2 5 2
Direct
0.1724 0.5000 0.5000
0.8276 0.5000 0.5000
0.5000 0.5000 0.5000
0.2311 0.0000 0.5000
0.7689 0.0000 0.5000
0.7689 0.5000 0.0000
0.2311 0.5000 0.0000
0.0000 0.0000 0.0000
0.5000 0.0000 0.0000
```

Properties
Total DFT energy (no corrections) (eV per atom): -8.0430